Entry 1:
BaFeBr2 (PBEsol, optimized geometry); density = 5379 kg/m³; energy relative to the elements, uncorrected = -2.07 eV/f.u.; ΔE to the lowest computed polymorph = 0 meV per atom
1.0
-4.7120 1.9740 -1.6257
-1.2507 0.0015 -5.2133
-3.7969 -3.3039 -1.8467
Ba Br Fe
1 2 1
Cartesian
-4.8797 -0.6642 -4.3428
-7.3196 -0.9963 -6.5142
-2.4399 -0.3321 -2.1714
0.0000 0.0000 0.0000


Entry 2:
BaFe2Br (PBEsol, optimized geometry); density = 6679 kg/m³; energy relative to the elements, uncorrected = 4.00 eV/f.u.; ΔE to the lowest computed polymorph = 642 meV per atom
1.0
-2.2295 -4.3130 0.4054
-0.2474 -2.9851 -3.8426
2.6156 -4.1099 -0.0644
Ba Br Fe
1 1 2
Cartesian
0.0000 0.0000 0.0000
0.0693 -5.7040 -1.7508
0.0347 -2.8520 -0.8754
0.1040 -8.5560 -2.6262


Entry 3:
BaFe2Br (PBEsol, optimized geometry); density = 5994 kg/m³; energy relative to the elements, uncorrected = 2.84 eV/f.u.; ΔE to the lowest computed polymorph = 353 meV per atom
1.0
-1.4017 0.4949 3.3850
0.6515 -3.5526 0.7891
6.0564 1.6153 2.2717
Ba Br Fe
1 1 2
Cartesian
-0.3751 -1.5289 2.0871
2.6531 -0.7212 3.2229
4.0298 1.0748 1.5115
2.0266 0.5405 0.7602


Entry 4:
BaFeBr2 (PBEsol, optimized geometry); density = 5221 kg/m³; energy relative to the elements, uncorrected = -1.55 eV/f.u.; ΔE to the lowest computed polymorph = 129 meV per atom
1.0
4.4976 0.0000 0.0000
0.0000 4.4976 0.0000
-2.2488 -2.2488 5.5500
Ba Br Fe
1 2 1
Cartesian
0.0000 2.2488 2.7750
0.0000 0.0000 0.0000
2.2488 0.0000 2.7750
2.2488 2.2488 0.0000


Entry 5:
BaFe2Br (PBEsol, optimized geometry); density = 5447 kg/m³; energy relative to the elements, uncorrected = 1.43 eV/f.u.; ΔE to the lowest computed polymorph = 0 meV per atom
1.0
-0.9807 0.7746 -4.3140
-3.7380 -2.9041 0.3283
-2.7099 3.6316 1.2682
Ba Br Fe
1 1 2
Cartesian
-3.2240 0.3637 0.7983
-1.8453 2.2031 -1.5229
-3.2043 -1.7211 -1.9186
-1.5145 -0.4083 -2.0670


Entry 6:
BaFe2Br (PBEsol, optimized geometry); density = 5770 kg/m³; energy relative to the elements, uncorrected = 2.49 eV/f.u.; ΔE to the lowest computed polymorph = 264 meV per atom
1.0
3.4587 0.0000 0.0000
0.0000 4.8688 0.0000
0.0000 0.0000 5.6211
Ba Br Fe
1 1 2
Cartesian
1.7294 0.0000 2.8105
0.0000 2.4344 2.8105
0.0000 0.0000 0.0000
1.7294 2.4344 0.0000


Entry 7:
BaFe3Br (PBEsol, optimized geometry); density = 5285 kg/m³; energy relative to the elements, uncorrected = 11.62 eV/f.u.
1.0
-0.2891 2.2318 4.4027
-3.2720 -3.3888 1.5029
3.6958 -2.8255 1.6750
Ba Br Fe
1 1 3
Cartesian
0.0000 0.0000 0.0000
0.0674 -1.9913 3.7903
-1.6360 -1.6944 0.7515
1.8479 -1.4128 0.8375
-0.1446 1.1159 2.2014


Entry 8:
Ba2FeBrO3 (PBEsol, optimized geometry); density = 5866 kg/m³; energy relative to the elements, uncorrected = -14.75 eV/f.u.
1.0
4.0496 0.0000 0.0000
0.0000 4.0496 0.0000
0.0000 0.0000 15.8253
Ba Fe Br O
4 2 2 6
Cartesian
0.0000 2.0248 10.6040
2.0248 0.0000 1.4835
2.0248 0.0000 5.2213
0.0000 2.0248 14.3418
0.0000 2.0248 3.1101
2.0248 0.0000 12.7153
0.0000 2.0248 6.6896
2.0248 0.0000 9.1358
0.0000 2.0248 1.2355
2.0248 2.0248 12.4044
0.0000 0.0000 12.4044
2.0248 2.0248 3.4210
0.0000 0.0000 3.4210
2.0248 0.0000 14.5899